Entry from Alexandria via LeMat-Bulk: a relaxed structure of LiTlIn2Ir (PBE).

Energy of formation from the pure elements (eV/atom): -0.0179
Magnetic moment (μB per atom): 0.000
Space group: No. 123

Structure (POSCAR):
```
LiTlIn2Ir
1.0
5.1692 0.0000 0.0000
0.0000 5.1692 0.0000
0.0000 0.0000 4.9412
Li Tl In Ir
1 1 2 1
Cartesian
0.0000 0.0000 0.0000
2.5846 2.5846 0.0000
0.0000 2.5846 2.4706
2.5846 0.0000 2.4706
0.0000 0.0000 2.4706
```